# AcTb7Dy12 | the Alexandria database | GGA-PBE | optimized geometry
# **DFT formation energy**: 13.3 eV per formula unit
# **Energy above the lowest structure with this stoichiometry**: 427 meV per atom
data_AcTb7Dy12
_space_group_name_H-M_alt 'I m -3 m'
_space_group_IT_number 229
_space_group_name_Hall '-I 4 2 3'
_cell_length_a 11.315
_cell_length_b 11.315
_cell_length_c 11.315
_cell_angle_alpha 90.00
_cell_angle_beta 90.00
_cell_angle_gamma 90.00
loop_
_atom_site_label
_atom_site_type_symbol
_atom_site_fract_x
_atom_site_fract_y
_atom_site_fract_z
_atom_site_occupancy
Ac1 Ac 0.000 0.000 0.000 1
Tb1 Tb 0.000 0.000 0.500 1
Tb2 Tb 0.250 0.250 0.250 1
Dy1 Dy 0.000 0.260 0.260 1



# HfVCuRu | the Alexandria database | GGA-PBE | optimized geometry
# **DFT formation energy**: -0.6 eV per formula unit
data_HfVCuRu
_space_group_name_H-M_alt 'F -4 3 m'
_space_group_IT_number 216
_space_group_name_Hall 'F -4 2 3'
_cell_length_a 6.259
_cell_length_b 6.259
_cell_length_c 6.259
_cell_angle_alpha 90.00
_cell_angle_beta 90.00
_cell_angle_gamma 90.00
loop_
_atom_site_label
_atom_site_type_symbol
_atom_site_fract_x
_atom_site_fract_y
_atom_site_fract_z
_atom_site_occupancy
Hf1 Hf 0.000 0.000 0.000 1
V1 V 0.000 0.000 0.500 1
Cu1 Cu 0.250 0.250 0.750 1
Ru1 Ru 0.250 0.250 0.250 1



# Sm9Tm2Th | the Alexandria database | GGA-PBE | optimized geometry
# **DFT formation energy**: 0.4 eV per formula unit
data_Sm9Tm2Th
_space_group_name_H-M_alt 'P 4/m m m'
_space_group_IT_number 123
_space_group_name_Hall '-P 4 2'
_cell_length_a 5.091
_cell_length_b 5.091
_cell_length_c 15.283
_cell_angle_alpha 90.00
_cell_angle_beta 90.00
_cell_angle_gamma 90.00
loop_
_atom_site_label
_atom_site_type_symbol
_atom_site_fract_x
_atom_site_fract_y
_atom_site_fract_z
_atom_site_occupancy
Sm1 Sm 0.000 0.000 0.000 1
Sm2 Sm 0.000 0.000 0.336 1
Sm3 Sm 0.000 0.500 0.166 1
Sm4 Sm 0.000 0.500 0.500 1
Tm1 Tm 0.500 0.500 0.334 1
Th1 Th 0.500 0.500 0.000 1



# Zr2NbAs2 | the Alexandria database | GGA-PBE | optimized geometry
# **DFT formation energy**: -4.3 eV per formula unit
# **Energy above the lowest structure with this stoichiometry**: 0 meV per atom
data_Zr2NbAs2
_space_group_name_H-M_alt 'P 4/m b m'
_space_group_IT_number 127
_space_group_name_Hall '-P 4 2ab'
_cell_length_a 7.083
_cell_length_b 7.083
_cell_length_c 3.732
_cell_angle_alpha 90.00
_cell_angle_beta 90.00
_cell_angle_gamma 90.00
loop_
_atom_site_label
_atom_site_type_symbol
_atom_site_fract_x
_atom_site_fract_y
_atom_site_fract_z
_atom_site_occupancy
Zr1 Zr 0.159 0.341 0.000 1
Nb1 Nb 0.000 0.000 0.500 1
As1 As 0.145 0.645 0.500 1



# Li2AgMo | the Alexandria database | GGA-PBE | optimized geometry
# **DFT formation energy**: 0.8 eV per formula unit
# **Energy above the lowest structure with this stoichiometry**: 28 meV per atom
data_Li2AgMo
_space_group_name_H-M_alt 'P 4/m m m'
_space_group_IT_number 123
_space_group_name_Hall '-P 4 2'
_cell_length_a 2.677
_cell_length_b 2.677
_cell_length_c 8.653
_cell_angle_alpha 90.00
_cell_angle_beta 90.00
_cell_angle_gamma 90.00
loop_
_atom_site_label
_atom_site_type_symbol
_atom_site_fract_x
_atom_site_fract_y
_atom_site_fract_z
_atom_site_occupancy
Li1 Li 0.000 0.000 0.242 1
Ag1 Ag 0.500 0.500 0.000 1
Mo1 Mo 0.500 0.500 0.500 1



# Hf2US | the Alexandria database | GGA-PBE | optimized geometry
# **Raw formation energy**: -0.130 eV per atom
data_Hf2US
_space_group_name_H-M_alt 'R -3 m'
_space_group_IT_number 166
_space_group_name_Hall '-R 3 2"'
_cell_length_a 3.1535
_cell_length_b 3.1535
_cell_length_c 29.2725
_cell_angle_alpha 90.00
_cell_angle_beta 90.00
_cell_angle_gamma 120.00
loop_
_atom_site_label
_atom_site_type_symbol
_atom_site_fract_x
_atom_site_fract_y
_atom_site_fract_z
_atom_site_occupancy
Hf1 Hf 0.0000 0.0000 0.1030 1
U1 U 0.0000 0.0000 0.0000 1
S1 S 0.0000 0.0000 0.5000 1



# HoTmCd | the Alexandria database | GGA-PBE | optimized geometry
# **DFT formation energy**: 0.3 eV per formula unit
# **Energy above the lowest structure with this stoichiometry**: 283 meV per atom
data_HoTmCd
_space_group_name_H-M_alt 'I -4 m 2'
_space_group_IT_number 119
_space_group_name_Hall 'I -4 -2'
_cell_length_a 5.100
_cell_length_b 5.100
_cell_length_c 7.202
_cell_angle_alpha 90.00
_cell_angle_beta 90.00
_cell_angle_gamma 90.00
loop_
_atom_site_label
_atom_site_type_symbol
_atom_site_fract_x
_atom_site_fract_y
_atom_site_fract_z
_atom_site_occupancy
Ho1 Ho 0.000 0.000 0.000 1
Tm1 Tm 0.000 0.000 0.500 1
Cd1 Cd 0.000 0.500 0.750 1



# KRbSr2H | the Alexandria database | GGA-PBE | optimized geometry
# **Final energy**: -8.57 eV per formula unit
data_KRbSr2H
_space_group_name_H-M_alt 'P 4/m m m'
_space_group_IT_number 123
_space_group_name_Hall '-P 4 2'
_cell_length_a 5.682
_cell_length_b 5.682
_cell_length_c 7.162
_cell_angle_alpha 90.00
_cell_angle_beta 90.00
_cell_angle_gamma 90.00
loop_
_atom_site_label
_atom_site_type_symbol
_atom_site_fract_x
_atom_site_fract_y
_atom_site_fract_z
_atom_site_occupancy
K1 K 0.000 0.000 0.000 1
Rb1 Rb 0.500 0.500 0.000 1
Sr1 Sr 0.000 0.500 0.500 1
H1 H 0.500 0.500 0.500 1



# CaCuAg2 | the Alexandria database | GGA-PBE | optimized geometry
# **DFT formation energy**: -0.2 eV per formula unit
# **Energy above the lowest structure with this stoichiometry**: 55 meV per atom
data_CaCuAg2
_space_group_name_H-M_alt 'F m -3 m'
_space_group_IT_number 225
_space_group_name_Hall '-F 4 2 3'
_cell_length_a 6.823
_cell_length_b 6.823
_cell_length_c 6.823
_cell_angle_alpha 90.00
_cell_angle_beta 90.00
_cell_angle_gamma 90.00
loop_
_atom_site_label
_atom_site_type_symbol
_atom_site_fract_x
_atom_site_fract_y
_atom_site_fract_z
_atom_site_occupancy
Ca1 Ca 0.000 0.000 0.000 1
Cu1 Cu 0.000 0.000 0.500 1
Ag1 Ag 0.250 0.250 0.250 1



# AlW2Se | the Alexandria database | GGA-PBE | optimized geometry
# **Raw formation energy**: 0.421 eV per atom
# **Energy above the lowest structure with this stoichiometry**: 299 meV per atom
data_AlW2Se
_space_group_name_H-M_alt 'P 4/m m m'
_space_group_IT_number 123
_space_group_name_Hall '-P 4 2'
_cell_length_a 3.056
_cell_length_b 3.056
_cell_length_c 6.671
_cell_angle_alpha 90.00
_cell_angle_beta 90.00
_cell_angle_gamma 90.00
loop_
_atom_site_label
_atom_site_type_symbol
_atom_site_fract_x
_atom_site_fract_y
_atom_site_fract_z
_atom_site_occupancy
Al1 Al 0.000 0.000 0.000 1
W1 W 0.500 0.500 0.258 1
Se1 Se 0.000 0.000 0.500 1



# Cr5Ga | the Alexandria database | GGA-PBE | optimized geometry
# **DFT formation energy**: 0.1 eV per formula unit
# **Energy above the lowest structure with this stoichiometry**: 17 meV per atom
data_Cr5Ga
_space_group_name_H-M_alt 'P 1 2/m 1'
_space_group_IT_number 10
_space_group_name_Hall '-P 2y'
_cell_length_a 4.063
_cell_length_b 4.122
_cell_length_c 4.754
_cell_angle_alpha 90.00
_cell_angle_beta 115.10
_cell_angle_gamma 90.00
loop_
_atom_site_label
_atom_site_type_symbol
_atom_site_fract_x
_atom_site_fract_y
_atom_site_fract_z
_atom_site_occupancy
Cr1 Cr 0.000 0.000 0.000 1
Cr2 Cr 0.177 0.500 0.356 1
Cr3 Cr 0.327 0.000 0.653 1
Ga1 Ga 0.500 0.500 0.000 1



# Np6CdS12 | the Alexandria database | GGA-PBE | optimized geometry
# **Raw formation energy**: -1.148 eV per atom
data_Np6CdS12
_space_group_name_H-M_alt 'R -3'
_space_group_IT_number 148
_space_group_name_Hall '-R 3'
_cell_length_a 11.3633
_cell_length_b 11.3633
_cell_length_c 13.0408
_cell_angle_alpha 90.00
_cell_angle_beta 90.00
_cell_angle_gamma 120.00
loop_
_atom_site_label
_atom_site_type_symbol
_atom_site_fract_x
_atom_site_fract_y
_atom_site_fract_z
_atom_site_occupancy
Np1 Np 0.0437 0.7781 0.1928 1
Cd1 Cd 0.0000 0.0000 0.5000 1
S1 S 0.0290 0.8125 0.3964 1
S2 S 0.0303 0.8372 0.8797 1



| no. | density (g/cm3) | N(E_F) (states/eV/cell) |
| --- | --- | --- |
| 1 | 7.54 | 50.9 |
| 2 | 10.67 | 12.8 |
| 3 | 8.06 | 19.5 |
| 4 | 7.54 | 6.1 |
| 5 | 5.83 | 3.4 |
| 6 | 12.39 | 17.6 |
| 7 | 7.91 | 6.2 |
| 8 | 2.16 | 3.5 |
| 9 | 6.68 | 6.0 |
| 10 | 12.62 | 5.0 |
| 11 | 7.59 | 7.4 |
| 12 | 6.56 | 184.0 |